Record 1
Here is a crystal of ScAgHg2 relaxed with PBEsol from Alexandria. Energies are from meta-GGA SCAN.

a = 4.6746 Å, b = 4.8312 Å, c = 4.6746 Å
α = 61.07°, β = 90.00°, γ = 118.93°
Closest atoms and distances in Å follow each position.
Sites, in units of the cell vectors:
Sc 0.5000 0.0000 0.5000  4 Ag 2.93, 4 Hg 2.93
Hg 0.0000 0.0000 0.0000  4 Hg 2.93, 4 Ag 2.93
Hg 0.2500 0.5000 0.2500  4 Hg 2.93, 4 Sc 2.93
Ag 0.7500 0.5000 0.7500  4 Hg 2.93, 4 Sc 2.93

## Properties
For the total moment, the calculation gives 0.00 μB per formula unit. As for the symmetry: I-4m2 (119). As for the mass density: 11.95 Mg/m³. The uncorrected energy comes out at -45.78 eV/atom.

***

Record 2
Here is a crystal of ScAg2Hg relaxed with PBEsol from Alexandria. Energies are from meta-GGA SCAN.

a = 3.1795 Å, b = 3.1795 Å, c = 9.0766 Å
α = 79.91°, β = 79.91°, γ = 60.00°
Closest atoms and distances in Å follow each position.
Sites, in units of the cell vectors:
Ag 0.0013 0.0013 0.9960  3 Ag 2.82, 3 Sc 2.87
Ag 0.7482 0.7482 0.7553  3 Ag 2.82, 3 Hg 2.88
Hg 0.4983 0.4983 0.5051  3 Ag 2.88, 3 Sc 2.96, 6 Hg 3.18
Sc 0.2521 0.2521 0.2436  3 Ag 2.87, 3 Hg 2.96, 6 Sc 3.18

## Properties
For the total moment, the calculation gives 0.00 μB per formula unit. As for the symmetry: R3m (160). As for the mass density: 9.84 Mg/m³. The uncorrected energy comes out at -36.36 eV/atom.

***

Record 3
Here is a crystal of ScAg2Hg relaxed with PBEsol from Alexandria. Energies are from meta-GGA SCAN.

a = 3.4390 Å, b = 3.4390 Å, c = 6.2986 Å
α = 90.00°, β = 90.00°, γ = 90.00°
Closest atoms and distances in Å follow each position.
Sites, in units of the cell vectors:
Sc 0.0000 0.0000 0.7570  5 Ag 2.90-3.05, 4 Hg 2.94
Hg 0.5000 0.5000 0.4939  6 Ag 2.91-3.24, 4 Sc 2.94
Ag 0.5000 0.5000 0.0078  4 Ag 2.84, 4 Sc 2.90, 1 Hg 3.06
Ag 0.0000 0.0000 0.2413  4 Ag 2.84, 4 Hg 2.91, 1 Sc 3.05

## Properties
For the total moment, the calculation gives 0.00 μB per formula unit. As for the symmetry: P4mm (99). As for the mass density: 10.28 Mg/m³. The uncorrected energy comes out at -36.54 eV/atom.

***

> Which value of total moment does entry 2 give?

0.00 μB per formula unit